# 1
{"formula": "CsTm2CuS4", "functional": "PBE-GGA", "state": "optimized geometry", "spacegroup": "Cmcm (63)", "m_tot_mub_per_atom": 0.00, "formation_energy_uncorrected_ev_per_atom": -1.619, "final_energy_ev_per_cell": -86.72, "lattice": [[1.9853, -6.9836, 0.0000], [1.9853, 6.9836, 0.0000], [0.0000, 0.0000, 13.7696]], "species": ["Cs", "Cs", "Tm", "Tm", "Tm", "Tm", "Cu", "Cu", "S", "S", "S", "S", "S", "S", "S", "S"], "fractional_positions": [[0.1067, 0.8933, 0.7500], [0.8933, 0.1067, 0.2500], [0.3663, 0.6337, 0.5618], [0.3663, 0.6337, 0.9382], [0.6337, 0.3663, 0.0618], [0.6337, 0.3663, 0.4382], [0.1689, 0.8311, 0.2500], [0.8311, 0.1689, 0.7500], [0.0000, 0.0000, 0.0000], [0.0000, 0.0000, 0.5000], [0.2549, 0.7451, 0.1036], [0.2549, 0.7451, 0.3964], [0.4178, 0.5822, 0.7500], [0.5822, 0.4178, 0.2500], [0.7451, 0.2549, 0.6036], [0.7451, 0.2549, 0.8964]]}


# 2
{"formula": "Ta2BeAu", "functional": "PBE-GGA", "state": "optimized geometry", "spacegroup": "Immm (71)", "m_tot_mub_per_atom": 0.00, "final_energy_ev_per_cell": -30.49, "delta_e_f_ev_per_fu": 0.222, "lattice": [[-1.7250, 2.0912, 4.3861], [1.7250, -2.0912, 4.3861], [1.7250, 2.0912, -4.3861]], "species": ["Ta", "Ta", "Be", "Au"], "fractional_positions": [[0.2401, 0.2401, 0.0000], [0.7599, 0.7599, 0.0000], [0.0000, 0.5000, 0.5000], [0.5000, 0.0000, 0.5000]]}


# 3
{"formula": "HgPIrS2", "functional": "PBE-GGA", "state": "optimized geometry", "e_above_lowest_polymorph_ev_per_fu": 0.00, "spacegroup": "P4/mmm (123)", "m_tot_mub_per_atom": 0.00, "formation_energy_uncorrected_ev_per_atom": 0.537, "final_energy_ev_per_cell": -20.14, "lattice": [[4.9185, 0.0000, 0.0000], [0.0000, 4.9185, 0.0000], [0.0000, 0.0000, 4.4047]], "species": ["Hg", "P", "Ir", "S", "S"], "fractional_positions": [[0.0000, 0.0000, 0.0000], [0.5000, 0.5000, 0.0000], [0.5000, 0.5000, 0.5000], [0.0000, 0.5000, 0.5000], [0.5000, 0.0000, 0.5000]]}


# 4
{"formula": "SrY3Ir", "functional": "PBE-GGA", "state": "optimized geometry", "e_above_lowest_polymorph_ev_per_fu": 1.36, "spacegroup": "Cmcm (63)", "m_tot_mub_per_atom": 0.00, "final_energy_ev_per_cell": -60.85, "delta_e_f_ev_per_fu": -0.491, "lattice": [[4.2286, -5.8942, 0.0000], [4.2286, 5.8942, 0.0000], [0.0000, 0.0000, 6.4926]], "species": ["Sr", "Sr", "Y", "Y", "Y", "Y", "Y", "Y", "Ir", "Ir"], "fractional_positions": [[0.0606, 0.9394, 0.7500], [0.9394, 0.0606, 0.2500], [0.0460, 0.5840, 0.2500], [0.4160, 0.9540, 0.2500], [0.5000, 0.5000, 0.0000], [0.5000, 0.5000, 0.5000], [0.5840, 0.0460, 0.7500], [0.9540, 0.4160, 0.7500], [0.3021, 0.6979, 0.7500], [0.6979, 0.3021, 0.2500]]}


# 5
{"formula": "PrTmOs4", "functional": "PBE-GGA", "state": "optimized geometry", "spacegroup": "F-43m (216)", "m_tot_mub_per_atom": 0.00, "final_energy_ev_per_cell": -55.10, "delta_e_f_ev_per_fu": -0.935, "lattice": [[0.0000, 3.8160, 3.8160], [3.8160, 0.0000, 3.8160], [3.8160, 3.8160, 0.0000]], "species": ["Pr", "Tm", "Os", "Os", "Os", "Os"], "fractional_positions": [[0.0000, 0.0000, 0.0000], [0.7500, 0.7500, 0.7500], [0.3753, 0.3753, 0.3753], [0.3753, 0.3753, 0.8740], [0.3753, 0.8740, 0.3753], [0.8740, 0.3753, 0.3753]]}


# 6
{"formula": "CsNa2AsIr", "functional": "PBE-GGA", "state": "optimized geometry", "spacegroup": "P4/mmm (123)", "m_tot_mub_per_atom": 0.00, "final_energy_ev_per_cell": -17.56, "delta_e_f_ev_per_fu": -0.558, "lattice": [[5.6949, 0.0000, 0.0000], [0.0000, 5.6949, 0.0000], [0.0000, 0.0000, 4.6607]], "species": ["Cs", "Na", "Na", "As", "Ir"], "fractional_positions": [[0.0000, 0.0000, 0.0000], [0.0000, 0.5000, 0.5000], [0.5000, 0.0000, 0.5000], [0.5000, 0.5000, 0.0000], [0.5000, 0.5000, 0.5000]]}


# 7
{"formula": "CaTm2InHg4", "functional": "PBE-GGA", "state": "optimized geometry", "spacegroup": "R-3m (166)", "m_tot_mub_per_atom": 0.00, "final_energy_ev_per_cell": -18.23, "delta_e_f_ev_per_fu": -3.339, "lattice": [[2.5801, 1.4896, 8.5869], [-2.5801, 1.4896, 8.5869], [0.0000, -2.9793, 8.5869]], "species": ["Ca", "Tm", "Tm", "In", "Hg", "Hg", "Hg", "Hg"], "fractional_positions": [[0.0000, 0.0000, 0.0000], [0.2444, 0.2444, 0.2444], [0.7556, 0.7556, 0.7556], [0.5000, 0.5000, 0.5000], [0.1217, 0.1217, 0.1217], [0.3707, 0.3707, 0.3707], [0.6293, 0.6293, 0.6293], [0.8783, 0.8783, 0.8783]]}


# 8
{"formula": "ScPtW2", "functional": "PBE-GGA", "state": "optimized geometry", "spacegroup": "Cmmm (65)", "m_tot_mub_per_atom": 0.00, "final_energy_ev_per_cell": -38.15, "delta_e_f_ev_per_fu": 0.133, "lattice": [[1.8689, -2.0466, 0.0000], [1.8689, 2.0466, 0.0000], [0.0000, 0.0000, 8.8705]], "species": ["Sc", "Pt", "W", "W"], "fractional_positions": [[0.0000, 0.0000, 0.0000], [0.0000, 0.0000, 0.5000], [0.5000, 0.5000, 0.2666], [0.5000, 0.5000, 0.7334]]}


# 9
{"formula": "Li3Ac4Tl5", "functional": "PBE-GGA", "state": "optimized geometry", "spacegroup": "C2/m (12)", "m_tot_mub_per_atom": 0.00, "final_energy_ev_per_cell": -35.27, "delta_e_f_ev_per_fu": -1.264, "lattice": [[8.4805, -2.5482, 0.0000], [8.4805, 2.5482, 0.0000], [-5.7945, 0.0000, 9.6708]], "species": ["Li", "Li", "Li", "Ac", "Ac", "Ac", "Ac", "Tl", "Tl", "Tl", "Tl", "Tl"], "fractional_positions": [[0.0000, 0.0000, 0.0000], [0.3900, 0.3900, 0.1194], [0.6100, 0.6100, 0.8806], [0.0364, 0.0364, 0.3516], [0.2644, 0.2644, 0.7727], [0.7356, 0.7356, 0.2273], [0.9636, 0.9636, 0.6484], [0.2511, 0.2511, 0.4268], [0.4047, 0.4047, 0.3695], [0.5000, 0.5000, 0.0000], [0.5953, 0.5953, 0.6305], [0.7489, 0.7489, 0.5732]]}


# 10
{"formula": "VCrPBr", "functional": "PBE-GGA", "state": "optimized geometry", "e_above_lowest_polymorph_ev_per_fu": 0.49, "spacegroup": "R3m (160)", "m_tot_mub_per_atom": 0.04, "formation_energy_uncorrected_ev_per_atom": -0.191, "final_energy_ev_per_cell": -26.59, "lattice": [[1.5968, 0.9219, 7.0629], [-1.5968, 0.9219, 7.0629], [0.0000, -1.8438, 7.0629]], "species": ["V", "Cr", "P", "Br"], "fractional_positions": [[0.0000, 0.0000, 0.0000], [0.8660, 0.8660, 0.8660], [0.5935, 0.5935, 0.5935], [0.7499, 0.7499, 0.7499]]}


# 11
{"formula": "Cu2TcI", "functional": "PBE-GGA", "state": "optimized geometry", "e_above_lowest_polymorph_ev_per_fu": 0.10, "spacegroup": "P1 (1)", "m_tot_mub_per_atom": 0.00, "formation_energy_uncorrected_ev_per_atom": 0.221, "final_energy_ev_per_cell": -38.45, "lattice": [[4.3154, 0.0000, 0.0000], [2.1571, 3.8085, 0.0000], [2.1494, -0.9548, 10.3324]], "species": ["Cu", "Cu", "Cu", "Cu", "Tc", "Tc", "I", "I"], "fractional_positions": [[0.0000, 0.0000, 0.0000], [0.1057, 0.6001, 0.1888], [0.3606, 0.3139, 0.9646], [0.7136, 0.6533, 0.9192], [0.4648, 0.9119, 0.1589], [0.7411, 0.2829, 0.2355], [0.1983, 0.1892, 0.4160], [0.3351, 0.5855, 0.7439]]}


# 12
{"formula": "Pr2DyY3Bi6", "functional": "PBE-GGA", "state": "optimized geometry", "spacegroup": "C2/m (12)", "m_tot_mub_per_atom": 0.00, "final_energy_ev_per_cell": -67.72, "delta_e_f_ev_per_fu": -10.883, "lattice": [[3.9300, -6.8098, 0.0000], [3.9300, 6.8098, 0.0000], [-2.6234, 0.0000, 7.3990]], "species": ["Pr", "Pr", "Dy", "Y", "Y", "Y", "Bi", "Bi", "Bi", "Bi", "Bi", "Bi"], "fractional_positions": [[0.1656, 0.8344, 0.0000], [0.8344, 0.1656, 0.0000], [0.5000, 0.5000, 0.0000], [0.0000, 0.0000, 0.5000], [0.3302, 0.6698, 0.5000], [0.6698, 0.3302, 0.5000], [0.0879, 0.4153, 0.7446], [0.2596, 0.2596, 0.2586], [0.4153, 0.0879, 0.7446], [0.5847, 0.9121, 0.2554], [0.7404, 0.7404, 0.7414], [0.9121, 0.5847, 0.2554]]}


# 13
{"formula": "YBe2AlPt5", "functional": "PBE-GGA", "state": "optimized geometry", "spacegroup": "P4/mmm (123)", "m_tot_mub_per_atom": 0.00, "final_energy_ev_per_cell": -54.42, "delta_e_f_ev_per_fu": -6.560, "lattice": [[4.0441, 0.0000, 0.0000], [0.0000, 4.0441, 0.0000], [0.0000, 0.0000, 9.2984]], "species": ["Y", "Be", "Be", "Al", "Pt", "Pt", "Pt", "Pt", "Pt"], "fractional_positions": [[0.0000, 0.0000, 0.0000], [0.5000, 0.5000, 0.2331], [0.5000, 0.5000, 0.7669], [0.0000, 0.0000, 0.5000], [0.0000, 0.5000, 0.3331], [0.0000, 0.5000, 0.6669], [0.5000, 0.0000, 0.3331], [0.5000, 0.0000, 0.6669], [0.5000, 0.5000, 0.0000]]}


# 14
{"formula": "Ac3PrSb4", "functional": "PBE-GGA", "state": "optimized geometry", "e_above_lowest_polymorph_ev_per_fu": 0.06, "spacegroup": "Pm-3m (221)", "m_tot_mub_per_atom": 0.00, "formation_energy_uncorrected_ev_per_atom": -1.193, "final_energy_ev_per_cell": -43.14, "lattice": [[6.7103, 0.0000, 0.0000], [0.0000, 6.7103, 0.0000], [0.0000, 0.0000, 6.7103]], "species": ["Ac", "Ac", "Ac", "Pr", "Sb", "Sb", "Sb", "Sb"], "fractional_positions": [[0.0000, 0.0000, 0.5000], [0.0000, 0.5000, 0.0000], [0.5000, 0.0000, 0.0000], [0.5000, 0.5000, 0.5000], [0.0000, 0.0000, 0.0000], [0.0000, 0.5000, 0.5000], [0.5000, 0.0000, 0.5000], [0.5000, 0.5000, 0.0000]]}


# 15
{"formula": "Zr6Tl5In", "functional": "PBE-GGA", "state": "optimized geometry", "spacegroup": "C2/m (12)", "m_tot_mub_per_atom": 0.00, "final_energy_ev_per_cell": -66.13, "delta_e_f_ev_per_fu": -0.270, "lattice": [[4.1415, -8.1201, 0.0000], [4.1415, 8.1201, 0.0000], [-3.5160, 0.0000, 4.1013]], "species": ["Zr", "Zr", "Zr", "Zr", "Zr", "Zr", "Tl", "Tl", "Tl", "Tl", "Tl", "In"], "fractional_positions": [[0.0835, 0.4154, 0.7494], [0.2495, 0.2495, 0.2495], [0.4154, 0.0835, 0.7494], [0.5846, 0.9165, 0.2506], [0.7505, 0.7505, 0.7505], [0.9165, 0.5846, 0.2506], [0.1670, 0.8330, 0.0000], [0.3332, 0.6668, 0.5000], [0.5000, 0.5000, 0.0000], [0.6668, 0.3332, 0.5000], [0.8330, 0.1670, 0.0000], [0.0000, 0.0000, 0.5000]]}


# 16
{"formula": "TeP2Pt", "functional": "PBE-GGA", "state": "optimized geometry", "spacegroup": "Pmmm (47)", "m_tot_mub_per_atom": 0.00, "formation_energy_uncorrected_ev_per_atom": 0.550, "final_energy_ev_per_cell": -17.80, "lattice": [[3.1290, 0.0000, 0.0000], [0.0000, 4.7660, 0.0000], [0.0000, 0.0000, 4.7754]], "species": ["Te", "P", "P", "Pt"], "fractional_positions": [[0.0000, 0.0000, 0.0000], [0.0000, 0.5000, 0.5000], [0.5000, 0.5000, 0.0000], [0.5000, 0.0000, 0.5000]]}


# 17
{"formula": "Si2NiW", "functional": "PBE-GGA", "state": "optimized geometry", "e_above_lowest_polymorph_ev_per_fu": 0.25, "spacegroup": "Pmm2 (25)", "m_tot_mub_per_atom": 0.00, "formation_energy_uncorrected_ev_per_atom": -0.144, "final_energy_ev_per_cell": -30.16, "lattice": [[2.6880, 0.0000, 0.0000], [0.0000, 4.5519, 0.0000], [0.0000, 0.0000, 4.3514]], "species": ["Si", "Si", "Ni", "W"], "fractional_positions": [[0.0000, 0.0000, 0.0000], [0.5000, 0.5000, 0.2203], [0.5000, 0.0000, 0.4852], [0.0000, 0.5000, 0.7170]]}


# 18
{"formula": "Sb2TeSe", "functional": "PBE-GGA", "state": "optimized geometry", "e_above_lowest_polymorph_ev_per_fu": 0.27, "spacegroup": "Imm2 (44)", "m_tot_mub_per_atom": 0.00, "formation_energy_uncorrected_ev_per_atom": 0.034, "final_energy_ev_per_cell": -14.74, "lattice": [[-1.9486, 1.9681, 8.6215], [1.9486, -1.9681, 8.6215], [1.9486, 1.9681, -8.6215]], "species": ["Sb", "Sb", "Te", "Se"], "fractional_positions": [[0.0000, 0.0000, 0.0000], [0.8440, 0.3440, 0.5000], [0.2706, 0.7706, 0.5000], [0.5490, 0.5490, 0.0000]]}


# 19
{"formula": "Tb3FeBi", "functional": "PBE-GGA", "state": "optimized geometry", "spacegroup": "Pm-3m (221)", "m_tot_mub_per_atom": 0.02, "final_energy_ev_per_cell": -27.26, "delta_e_f_ev_per_fu": -1.027, "lattice": [[5.1535, 0.0000, 0.0000], [0.0000, 5.1535, 0.0000], [0.0000, 0.0000, 5.1535]], "species": ["Tb", "Tb", "Tb", "Fe", "Bi"], "fractional_positions": [[0.0000, 0.0000, 0.5000], [0.0000, 0.5000, 0.0000], [0.5000, 0.0000, 0.0000], [0.0000, 0.0000, 0.0000], [0.5000, 0.5000, 0.5000]]}


# 20
{"formula": "RbNaLi2Rh", "functional": "PBE-GGA", "state": "optimized geometry", "spacegroup": "P4/mmm (123)", "m_tot_mub_per_atom": 0.00, "final_energy_ev_per_cell": -8.73, "delta_e_f_ev_per_fu": 4.734, "lattice": [[5.5640, 0.0000, 0.0000], [0.0000, 5.5640, 0.0000], [0.0000, 0.0000, 5.0838]], "species": ["Rb", "Na", "Li", "Li", "Rh"], "fractional_positions": [[0.0000, 0.0000, 0.0000], [0.5000, 0.5000, 0.5000], [0.0000, 0.5000, 0.0000], [0.5000, 0.0000, 0.0000], [0.0000, 0.0000, 0.5000]]}